Here is a relaxed structure of PdRhF3 from Alexandria via LeMat-Bulk. Energies are from PBE.

The structure belongs to space group Pm-3m (No. 221); the cell edges are 4.1674, 4.1674 and 4.1674 Å and the angles 90.00°, 90.00° and 90.00°. The distinct sites, in fractional coordinates, are Pd at (0.0000, 0.0000, 0.0000), Rh at (0.5000, 0.5000, 0.5000) and F at (0.0000, 0.5000, 0.5000).

As for the density of states at the Fermi level: 1.64 states/eV per atom. The calculation puts the formation energy (no corrections) at -612 meV/atom. For the calculated total energy, the calculation gives -21.22 eV for the cell shown.